A plane-wave DFT calculation with PBE was carried out for an optimized crystal structure of La4Gd2Co.

Cell: 5.1917 5.1917 9.8274 Å, 74.68 74.68 90.00°
Site moments in Bohr magnetons follow the coordinates.
Element x y z (fractional)
La (0.5000, 0.0000, 0.0000)  -0.01
La (0.1601, 0.1601, 0.6797)  -0.20
La (0.8399, 0.8399, 0.3203)  -0.20
La (0.0000, 0.5000, 0.0000)  -0.01
Gd (0.6578, 0.6578, 0.6843)  -7.34
Gd (0.3422, 0.3422, 0.3157)  -7.34
Co (0.0000, 0.0000, 0.0000)  -0.10

Crystal system = tetragonal
DFT formation energy = 1.4 eV/f.u.
Spin magnetization = 2.36 μB per atom
Energy = -7.653 eV per atom
Space group = No. 139

A plane-wave DFT calculation with PBE was carried out for an optimized crystal structure of Li4Ca3In2.

Cell: 4.9606 5.7951 9.2004 Å, 101.66 90.00 115.34°
Element x y z (fractional)
Ca (0.3733, 0.7466, 0.6192)
Ca (0.6267, 0.2534, 0.3808)
Ca (0.0000, 0.0000, 0.0000)
Li (0.2848, 0.5696, 0.9341)
Li (0.0778, 0.1556, 0.6606)
Li (0.7152, 0.4304, 0.0659)
Li (0.9222, 0.8444, 0.3394)
In (0.7063, 0.4126, 0.7561)
In (0.2937, 0.5874, 0.2439)

Crystal system = monoclinic
DFT formation energy = -2.1 eV/f.u.
Spin magnetization = 0.00 μB per atom
Energy = -2.363 eV per atom
Space group = No. 12

A plane-wave DFT calculation with PBE was carried out for an optimized crystal structure of Sm6AlS4.

Cell: 3.9920 7.0183 20.5012 Å, 90.00 90.00 106.52°
Site moments in Bohr magnetons follow the coordinates.
Element x y z (fractional)
Sm (0.0439, 0.0879, 0.1602)  0.06
Sm (0.2279, 0.4557, 0.9164)  0.01
Sm (0.5000, 0.0000, 0.0000)  0.00
Sm (0.2279, 0.4557, 0.5836)  0.01
Sm (0.3376, 0.6753, 0.2500)  0.09
Sm (0.6624, 0.3247, 0.7500)  0.09
Sm (0.7721, 0.5443, 0.0836)  0.01
Sm (0.5000, 0.0000, 0.5000)  0.00
Sm (0.0439, 0.0879, 0.3398)  0.06
Sm (0.9561, 0.9121, 0.6602)  0.06
Sm (0.9561, 0.9121, 0.8398)  0.06
Sm (0.7721, 0.5443, 0.4164)  0.01
S (0.8625, 0.7250, 0.5399)  0.00
S (0.5922, 0.1845, 0.8769)  0.00
S (0.1375, 0.2750, 0.0399)  0.00
S (0.4078, 0.8155, 0.1231)  0.00
S (0.1375, 0.2750, 0.4601)  0.00
S (0.5922, 0.1845, 0.6231)  0.00
S (0.8625, 0.7250, 0.9601)  0.00
S (0.4078, 0.8155, 0.3769)  0.00
Al (0.6648, 0.3295, 0.2500)  0.00
Al (0.3352, 0.6705, 0.7500)  0.00

Crystal system = orthorhombic
Spin magnetization = 0.05 μB per atom
Energy = -5.962 eV per atom
Space group = No. 63
Raw formation energy = -1547 meV/atom